The following is a DFT calculation (PBE) of an optimized crystal structure of ZrInH.

It has space group P-6m2 (No. 187), with a = 3.4209 Å, b = 3.4209 Å, c = 4.8816 Å, α = 90.00°, β = 90.00° and γ = 120.00°. Symmetry generates all atoms from Zr at (0.0000, 0.0000, 0.0000), In at (0.3333, 0.6667, 0.5000) and H at (0.6667, 0.3333, 0.0000).

The crystal system is hexagonal. Its offset from the most stable computed form is 0.0000 eV per atom.


The following is a DFT calculation (PBE) of an optimized crystal structure of Zr3InH.

It has space group R-3 (No. 148, hexagonal axes), with a = 5.7131 Å, b = 5.7131 Å, c = 21.7606 Å, α = 90.00°, β = 90.00° and γ = 120.00°. Symmetry generates all atoms from Zr at (0.0060, 0.6795, 0.1098), In at (0.0000, 0.0000, 0.3326) and H at (0.0000, 0.0000, 0.1669).

The crystal system is trigonal. The value obtained for the raw total energy is -6.399 eV per atom.


The following is a DFT calculation (PBE) of an optimized crystal structure of ZrInH3.

It has space group Pm-3m (No. 221), with a = 3.9041 Å, b = 3.9041 Å, c = 3.9041 Å, α = 90.00°, β = 90.00° and γ = 90.00°. Symmetry generates all atoms from Zr at (0.0000, 0.0000, 0.0000), In at (0.5000, 0.5000, 0.5000) and H at (0.0000, 0.0000, 0.5000).

The crystal system is cubic. Its offset from the most stable computed form is 0.0000 eV per atom.


The following is a DFT calculation (PBE) of an optimized crystal structure of Zr3InH.

It has space group P6_3/mmc (No. 194), with a = 3.3446 Å, b = 3.3446 Å, c = 20.1735 Å, α = 90.00°, β = 90.00° and γ = 120.00°. Symmetry generates all atoms from Zr at (0.0000, 0.0000, 0.2500), Zr at (0.3333, 0.6667, 0.1245), In at (0.0000, 0.0000, 0.0000) and H at (0.3333, 0.6667, 0.2500).

The crystal system is hexagonal. The value obtained for the raw total energy is -6.459 eV per atom.


The following is a DFT calculation (PBE) of an optimized crystal structure of Zr3InH.

It has space group Pm (No. 6), with a = 5.2676 Å, b = 3.3597 Å, c = 10.5976 Å, α = 90.00°, β = 90.22° and γ = 90.00°. Symmetry generates all atoms from Zr at (0.0000, 0.0000, 0.0000), Zr at (0.0004, 0.5000, 0.2474), Zr at (0.0138, 0.0000, 0.5013), Zr at (0.4764, 0.0000, 0.7903), Zr at (0.4968, 0.0000, 0.2775), Zr at (0.5082, 0.5000, 0.5323), In at (0.4992, 0.5000, 0.0392), In at (0.9683, 0.5000, 0.7475), H at (0.3503, 0.0000, 0.6082) and H at (0.6474, 0.0000, 0.4515).

The crystal system is monoclinic. The value obtained for the raw total energy is -6.627 eV per atom.


The following is a DFT calculation (PBE) of an optimized crystal structure of Zr5In4H.

It has space group I4/mmm (No. 139), with a = 9.5650 Å, b = 9.5650 Å, c = 4.5162 Å, α = 90.00°, β = 90.00° and γ = 90.00°. Symmetry generates all atoms from Zr at (0.0000, 0.0000, 0.0000), Zr at (0.1701, 0.1701, 0.5000), In at (0.0000, 0.3201, 0.0000) and H at (0.0000, 0.0000, 0.5000).

The crystal system is tetragonal. The value obtained for the raw total energy is -5.936 eV per atom.


The following is a DFT calculation (PBE) of an optimized crystal structure of Zr2InH.

It has space group R-3m (No. 166, hexagonal axes), with a = 3.2335 Å, b = 3.2335 Å, c = 23.2702 Å, α = 90.00°, β = 90.00° and γ = 120.00°. Symmetry generates all atoms from Zr at (0.0000, 0.0000, 0.2247), In at (0.0000, 0.0000, 0.0000) and H at (0.0000, 0.0000, 0.5000).

The crystal system is trigonal. Its offset from the most stable computed form is 0.1126 eV per atom.


The following is a DFT calculation (PBE) of an optimized crystal structure of ZrIn2H2.

It has space group P4/mbm (No. 127), with a = 6.0702 Å, b = 6.0702 Å, c = 4.2888 Å, α = 90.00°, β = 90.00° and γ = 90.00°. Symmetry generates all atoms from Zr at (0.0000, 0.0000, 0.0000), In at (0.1859, 0.3141, 0.5000) and H at (0.2108, 0.7108, 0.0000).

The crystal system is tetragonal. Its offset from the most stable computed form is 0.0000 eV per atom.


The following is a DFT calculation (PBE) of an optimized crystal structure of Zr3InH2.

It has space group C2/m (No. 12), with a = 16.3050 Å, b = 3.1364 Å, c = 7.8022 Å, α = 90.00°, β = 93.34° and γ = 90.00°. Symmetry generates all atoms from Zr at (0.0359, 0.0000, 0.1973), Zr at (0.0940, 0.5000, 0.5452), Zr at (0.2300, 0.5000, 0.2930), In at (0.1401, 0.5000, 0.9345), H at (0.0646, 0.0000, 0.6798) and H at (0.2200, 0.5000, 0.5610).

The crystal system is monoclinic. Its offset from the most stable computed form is 0.1740 eV per atom.


The following is a DFT calculation (PBE) of an optimized crystal structure of Zr2InH2.

It has space group C2/c (No. 15), with a = 5.6082 Å, b = 9.4059 Å, c = 6.1324 Å, α = 90.00°, β = 117.17° and γ = 90.00°. Symmetry generates all atoms from Zr at (0.0000, 0.0395, 0.2500), Zr at (0.0000, 0.2903, 0.7500), In at (0.0000, 0.3748, 0.2500) and H at (0.1254, 0.1254, 0.0011).

The crystal system is monoclinic. Its offset from the most stable computed form is 0.0223 eV per atom.


The following is a DFT calculation (PBE) of an optimized crystal structure of Zr3InH.

It has space group P2_1/m (No. 11), with a = 3.4154 Å, b = 9.6352 Å, c = 5.9899 Å, α = 90.00°, β = 106.51° and γ = 90.00°. Symmetry generates all atoms from Zr at (0.0347, 0.2500, 0.0705), Zr at (0.3682, 0.0328, 0.7388), In at (0.2503, 0.7500, 0.4990) and H at (0.4337, 0.2500, 0.8684).

The crystal system is monoclinic. The value obtained for the raw total energy is -6.579 eV per atom.


The following is a DFT calculation (PBE) of an optimized crystal structure of ZrInH.

It has space group Pnma (No. 62), with a = 5.4120 Å, b = 3.1960 Å, c = 11.5938 Å, α = 90.00°, β = 90.00° and γ = 90.00°. Symmetry generates all atoms from Zr at (0.2491, 0.2500, 0.1973), In at (0.2497, 0.2500, 0.4625) and H at (0.0007, 0.2500, 0.7496).

The crystal system is orthorhombic. Its offset from the most stable computed form is 0.2157 eV per atom.


The following is a DFT calculation (PBE) of an optimized crystal structure of Zr4In3H.

It has space group Pmmn (No. 59, origin choice 2), with a = 4.4355 Å, b = 8.4924 Å, c = 9.3909 Å, α = 90.00°, β = 90.00° and γ = 90.00°. Symmetry generates all atoms from Zr at (0.2500, 0.0034, 0.1241), Zr at (0.2500, 0.2500, 0.8846), Zr at (0.2500, 0.7500, 0.8670), In at (0.2500, 0.0240, 0.6227), In at (0.2500, 0.2500, 0.3796) and H at (0.2500, 0.7500, 0.1023).

The crystal system is orthorhombic. The value obtained for the raw total energy is -5.829 eV per atom.


The following is a DFT calculation (PBE) of an optimized crystal structure of Zr6In3H.

It has space group C2/m (No. 12), with a = 10.4222 Å, b = 5.7536 Å, c = 7.1755 Å, α = 90.00°, β = 97.94° and γ = 90.00°. Symmetry generates all atoms from Zr at (0.1066, 0.2462, 0.3570), Zr at (0.1421, 0.0000, 0.9112), In at (0.0000, 0.5000, 0.0000), In at (0.1622, 0.5000, 0.7275) and H at (0.0000, 0.0000, 0.5000).

The crystal system is monoclinic. The value obtained for the raw total energy is -6.401 eV per atom.


The following is a DFT calculation (PBE) of an optimized crystal structure of Zr3InH.

It has space group C2/c (No. 15), with a = 10.5894 Å, b = 12.6626 Å, c = 5.6069 Å, α = 90.00°, β = 94.46° and γ = 90.00°. Symmetry generates all atoms from Zr at (0.1223, 0.1936, 0.0857), Zr at (0.1269, 0.3149, 0.5527), Zr at (0.1303, 0.0646, 0.6016), In at (0.1319, 0.4369, 0.0424), H at (0.0000, 0.0645, 0.2500) and H at (0.0000, 0.1934, 0.7500).

The crystal system is monoclinic. The value obtained for the raw total energy is -6.539 eV per atom.


The following is a DFT calculation (PBE) of an optimized crystal structure of Zr3In2H.

It has space group Cmm2 (No. 35), with a = 4.4791 Å, b = 15.5906 Å, c = 3.3118 Å, α = 90.00°, β = 90.00° and γ = 90.00°. Symmetry generates all atoms from Zr at (0.0000, 0.0000, 0.0000), Zr at (0.0000, 0.3920, 0.5008), In at (0.0000, 0.1945, 0.0011) and H at (0.0000, 0.5000, 0.9987).

The crystal system is orthorhombic. The value obtained for the raw total energy is -6.001 eV per atom.


The following is a DFT calculation (PBE) of an optimized crystal structure of Zr3InH.

It has space group C2/m (No. 12), with a = 10.5131 Å, b = 4.3342 Å, c = 9.2115 Å, α = 90.00°, β = 117.39° and γ = 90.00°. Symmetry generates all atoms from Zr at (0.1146, 0.0000, 0.2098), Zr at (0.1252, 0.5000, 0.9383), Zr at (0.1380, 0.0000, 0.6832), In at (0.1148, 0.5000, 0.4371) and H at (0.1259, 0.0000, 0.9075).

The crystal system is monoclinic. The value obtained for the raw total energy is -6.592 eV per atom.


The following is a DFT calculation (PBE) of an optimized crystal structure of Zr3InH.

It has space group P6_3/mmc (No. 194), with a = 4.9799 Å, b = 4.9799 Å, c = 8.8214 Å, α = 90.00°, β = 90.00° and γ = 120.00°. Symmetry generates all atoms from Zr at (0.0000, 0.0000, 0.2500), Zr at (0.3333, 0.6667, 0.0833), In at (0.3333, 0.6667, 0.7500) and H at (0.0000, 0.0000, 0.0000).

The crystal system is hexagonal. The value obtained for the raw total energy is -6.373 eV per atom.


The following is a DFT calculation (PBE) of an optimized crystal structure of ZrInH.

It has space group I4mm (No. 107), with a = 3.0160 Å, b = 3.0160 Å, c = 11.0490 Å, α = 90.00°, β = 90.00° and γ = 90.00°. Symmetry generates all atoms from Zr at (0.0000, 0.0000, 0.0000), In at (0.0000, 0.0000, 0.2774) and H at (0.0000, 0.0000, 0.5410).

The crystal system is tetragonal. Its offset from the most stable computed form is 0.2490 eV per atom.


The following is a DFT calculation (PBE) of an optimized crystal structure of Zr3InH.

It has space group P2_1/c (No. 14), with a = 7.9873 Å, b = 5.5465 Å, c = 10.8643 Å, α = 90.00°, β = 128.14° and γ = 90.00°. Symmetry generates all atoms from Zr at (0.0352, 0.1602, 0.3377), Zr at (0.2192, 0.6549, 0.5246), Zr at (0.2853, 0.1824, 0.7281), In at (0.4588, 0.6956, 0.8949) and H at (0.0759, 0.1597, 0.0168).

The crystal system is monoclinic. The value obtained for the raw total energy is -6.560 eV per atom.